<w>
The following is a GGA-PBEsol calculation of a relaxed structure of Sr2ZrRe, from Alexandria.

The value obtained for the mass density is 7.454 Mg/m³. As for the volume: 100.8 Å³/cell. Its crystal system is cubic. The spin magnetization is 0.001 μB per atom.

The structure in POSCAR format:
```
Sr2ZrRe
1.0
5.2245 0.0000 0.0000
2.6123 4.5246 0.0000
2.6123 1.5082 4.2658
Sr Zr Re
2 1 1
Direct
0.2500 0.2500 0.2500
0.7500 0.7500 0.7500
0.5000 0.5000 0.5000
0.0000 0.0000 0.0000
```

=====

<x>
The following is a GGA-PBEsol calculation of a relaxed structure of Sr2ZrRe, from Alexandria.

The value obtained for the mass density is 6.407 Mg/m³. As for the volume: 117.3 Å³/cell. Its crystal system is tetragonal. The spin magnetization is 0.000 μB per atom.

The structure in POSCAR format:
```
Sr2ZrRe
1.0
-1.9619 2.8249 -0.6345
-2.8319 -1.7128 1.1306
1.6521 3.1482 8.9077
Sr Zr Re
2 1 1
Direct
0.0000 0.0000 0.9228
0.5000 0.5000 0.2995
0.0000 0.0000 0.5784
0.5000 0.5000 0.6992
```

=====

On energetic grounds, <x> is preferred over the next structure by 991 meV per atom.

=====

<w>
The following is a GGA-PBEsol calculation of a relaxed structure of SrZrRe2, from Alexandria.

The value obtained for the mass density is 12.420 Mg/m³. As for the volume: 73.7 Å³/cell. Its crystal system is monoclinic. The spin magnetization is 0.000 μB per atom.

The structure in POSCAR format:
```
SrZrRe2
1.0
2.7645 -0.0040 -0.0068
-0.9151 5.5577 -0.0428
-0.9151 -2.7622 4.8229
Re Sr Zr
2 1 1
Direct
0.0000 0.5000 0.0000
0.0000 0.0000 0.5000
0.5000 0.0000 0.0000
0.5000 0.5000 0.5000
```

=====

<x>
The following is a GGA-PBEsol calculation of a relaxed structure of SrZrRe2, from Alexandria.

The value obtained for the mass density is 10.259 Mg/m³. As for the volume: 89.2 Å³/cell. Its crystal system is tetragonal. The spin magnetization is 0.000 μB per atom.

The structure in POSCAR format:
```
SrZrRe2
1.0
3.5493 0.0000 0.0000
0.0000 3.5493 0.0000
0.0000 0.0000 7.0831
Re Sr Zr
2 1 1
Direct
0.0000 0.0000 0.6701
0.0000 0.0000 0.3299
0.5000 0.5000 0.0000
0.5000 0.5000 0.5000
```

=====

On energetic grounds, <x> is preferred over the next structure by 235 meV per atom.